Below is Hf2Ni2Au after structural relaxation, with properties calculated at the PBE level.

Cell lengths 7.4202, 7.4202, 3.1771 Å; angles 90.00, 90.00, 90.00 degrees
Closest atoms and distances in Å follow each position.
Space group P4/mbm (No. 127)
Inequivalent atoms, fractional coordinates:
Hf: 0.1580 0.3420 0.0000  6 Ni 2.65-2.76, 2 Au 2.80
Ni: 0.1264 0.6264 0.5000  6 Hf 2.65-2.76, 1 Ni 2.65
Au: 0.0000 0.0000 0.0000  4 Hf 2.80

Summary:
- DFT total energy (eV for the cell shown) = -71.4
- DFT formation energy (kcal/mol of atoms) = -4.5
- spin magnetization (μB/f.u.) = 0.00

---

Below is HfNi3Au after structural relaxation, with properties calculated at the PBE level.

Cell lengths 4.5716, 4.5716, 4.5716 Å; angles 90.00, 90.00, 90.00 degrees
Closest atoms and distances in Å follow each position.
Space group Pm-3m (No. 221)
Inequivalent atoms, fractional coordinates:
Hf: 0.0000 0.0000 0.0000  12 Ni 3.23
Ni: 0.0000 0.5000 0.5000  2 Au 2.29
Au: 0.5000 0.5000 0.5000  6 Ni 2.29

Summary:
- DFT total energy (eV for the cell shown) = -25.5
- DFT formation energy (kcal/mol of atoms) = 23.6
- spin magnetization (μB/f.u.) = 0.00

---

Below is HfNiAu4 after structural relaxation, with properties calculated at the PBE level.

Cell lengths 5.0500, 8.7201, 5.0139 Å; angles 90.00, 111.15, 90.00 degrees
Closest atoms and distances in Å follow each position.
Space group C2/m (No. 12)
Inequivalent atoms, fractional coordinates:
Hf: 0.0000 0.0000 0.0000  2 Ni 2.84, 10 Au 2.89-2.94
Ni: 0.0000 0.5000 0.5000  2 Hf 2.84, 10 Au 2.88-2.93
Au: 0.0000 0.1645 0.5000  7 Au 2.84-2.93, 2 Hf 2.89, 3 Ni 2.90-2.93
Au: 0.0000 0.3377 0.0000  7 Au 2.83-2.95, 2 Ni 2.88, 3 Hf 2.89-2.94

Summary:
- DFT total energy (eV for the cell shown) = -60.8
- DFT formation energy (kcal/mol of atoms) = -5.9
- spin magnetization (μB/f.u.) = 0.00

---

Below is Hf3NiAu after structural relaxation, with properties calculated at the PBE level.

Cell lengths 4.7582, 4.7582, 4.7582 Å; angles 90.00, 90.00, 90.00 degrees
Closest atoms and distances in Å follow each position.
Space group Pm-3m (No. 221)
Inequivalent atoms, fractional coordinates:
Hf: 0.0000 0.0000 0.5000  2 Ni 2.38
Ni: 0.0000 0.0000 0.0000  6 Hf 2.38
Au: 0.5000 0.5000 0.5000  12 Hf 3.36

Summary:
- DFT total energy (eV for the cell shown) = -38.1
- DFT formation energy (kcal/mol of atoms) = 3.8
- spin magnetization (μB/f.u.) = 0.00

---

Below is HfNi3Au after structural relaxation, with properties calculated at the PBE level.

Cell lengths 3.9345, 4.8530, 7.5706 Å; angles 90.00, 90.00, 90.00 degrees
Closest atoms and distances in Å follow each position.
Space group Imm2 (No. 44)
Inequivalent atoms, fractional coordinates:
Hf: 0.0000 0.0000 0.0000  8 Ni 2.62-2.73
Ni: 0.0000 0.2592 0.3030  4 Ni 2.34-2.52, 1 Hf 2.62
Ni: 0.0000 0.5000 0.8378  4 Ni 2.35
Au: 0.0000 0.0000 0.6099  8 Ni 2.64-2.85, 1 Hf 2.95

Summary:
- DFT total energy (eV for the cell shown) = -64.0
- DFT formation energy (kcal/mol of atoms) = -6.7
- spin magnetization (μB/f.u.) = 0.00

---

Below is Hf2NiAu2 after structural relaxation, with properties calculated at the PBE level.

Cell lengths 7.1954, 7.1954, 3.6601 Å; angles 90.00, 90.00, 90.00 degrees
Closest atoms and distances in Å follow each position.
Space group P4/mbm (No. 127)
Inequivalent atoms, fractional coordinates:
Hf: 0.1710 0.3290 0.0000  6 Au 2.69-2.88
Ni: 0.0000 0.0000 0.5000  4 Au 2.80
Au: 0.1358 0.6358 0.5000  6 Hf 2.69-2.88, 1 Au 2.76, 2 Ni 2.80

Summary:
- DFT total energy (eV for the cell shown) = -67.1
- DFT formation energy (kcal/mol of atoms) = -6.0
- spin magnetization (μB/f.u.) = 0.00

---

Below is Hf3Ni12Au5 after structural relaxation, with properties calculated at the PBE level.

Cell lengths 14.4000, 14.4000, 14.4000 Å; angles 90.00, 90.00, 90.00 degrees
Closest atoms and distances in Å follow each position.
Space group Ia-3d (No. 230)
Inequivalent atoms, fractional coordinates:
Hf: 0.0000 0.2500 0.1250  8 Ni 2.53-2.55
Ni: 0.0011 0.0755 0.6536  3 Ni 2.44-2.73, 2 Au 2.46-2.51, 2 Hf 2.53-2.55
Au: 0.0000 0.0000 0.0000  6 Ni 2.46
Au: 0.0000 0.2500 0.3750  4 Ni 2.51

Summary:
- DFT total energy (eV for the cell shown) = -858.3
- DFT formation energy (kcal/mol of atoms) = 9.6
- spin magnetization (μB/f.u.) = 0.00

---

Below is Hf6Ni6Au after structural relaxation, with properties calculated at the PBE level.

Cell lengths 5.1071, 9.0389, 9.1605 Å; angles 90.00, 90.00, 90.00 degrees
Closest atoms and distances in Å follow each position.
Space group Immm (No. 71)
Inequivalent atoms, fractional coordinates:
Hf: 0.0000 0.0000 0.1676  6 Ni 2.69-2.70
Hf: 0.0000 0.3261 0.0000  6 Ni 2.71, 2 Hf 2.98, 2 Au 3.00
Hf: 0.0000 0.3430 0.5000  6 Ni 2.75-2.77, 3 Hf 2.84-2.98
Ni: 0.0000 0.5000 0.2404  4 Ni 2.60, 6 Hf 2.69-2.77
Ni: 0.2500 0.2500 0.2500  4 Ni 2.55-2.60, 6 Hf 2.70-2.75
Au: 0.0000 0.0000 0.5000  8 Hf 3.00-3.10

Summary:
- DFT total energy (eV for the cell shown) = -204.5
- DFT formation energy (kcal/mol of atoms) = -8.1
- spin magnetization (μB/f.u.) = 0.00

---

Below is Hf4Ni2Au after structural relaxation, with properties calculated at the PBE level.

Cell lengths 4.2936, 4.2936, 26.0947 Å; angles 90.00, 90.00, 120.00 degrees
Closest atoms and distances in Å follow each position.
Space group R-3m (No. 166, hexagonal axes)
Inequivalent atoms, fractional coordinates:
Hf: 0.0000 0.0000 0.1141  3 Ni 2.80, 3 Au 2.83
Hf: 0.0000 0.0000 0.2983  4 Ni 2.59-2.60
Ni: 0.0000 0.0000 0.3977  7 Hf 2.59-2.80, 1 Au 2.67
Au: 0.0000 0.0000 0.5000  2 Ni 2.67, 6 Hf 2.83

Summary:
- DFT total energy (eV for the cell shown) = -167.2
- DFT formation energy (kcal/mol of atoms) = -3.5
- spin magnetization (μB/f.u.) = 0.00

---

Below is Hf2NiAu2 after structural relaxation, with properties calculated at the PBE level.

Cell lengths 4.7369, 4.7369, 9.9570 Å; angles 90.00, 90.00, 90.00 degrees
Closest atoms and distances in Å follow each position.
Space group I4/mmm (No. 139)
Inequivalent atoms, fractional coordinates:
Hf: 0.0000 0.5000 0.2500  4 Au 2.67
Ni: 0.0000 0.0000 0.0000  8 Hf 3.44, 10 Au 3.58-3.71
Au: 0.0000 0.0000 0.3731  1 Au 2.53, 4 Hf 2.67

Summary:
- DFT total energy (eV for the cell shown) = -61.4
- DFT formation energy (kcal/mol of atoms) = 7.1
- spin magnetization (μB/f.u.) = 0.00

---

Below is Hf12Ni6Au after structural relaxation, with properties calculated at the PBE level.

Cell lengths 8.8902, 8.8902, 8.8902 Å; angles 90.00, 90.00, 90.00 degrees
Closest atoms and distances in Å follow each position.
Space group Im-3 (No. 204)
Inequivalent atoms, fractional coordinates:
Hf: 0.0000 0.2913 0.1883  1 Ni 2.44
Ni: 0.0000 0.1341 0.5000  1 Ni 2.38, 2 Hf 2.44
Au: 0.0000 0.0000 0.0000  12 Hf 3.08

Summary:
- DFT total energy (eV for the cell shown) = -326.7
- DFT formation energy (kcal/mol of atoms) = -7.2
- spin magnetization (μB/f.u.) = 0.00